This record from the Alexandria database describes a geometry-optimized Li8Fe7O15 structure. The functional is PBE with a Hubbard U.

Unit cell a=21.4510 b=3.0057 c=8.5338 alpha=90.00 beta=100.18 gamma=90.00
Space group C2/m (No. 12)
Unique sites:
Li (0.0332, 0.0000, 0.2331) [4 per cell]
Li (0.0989, 0.0000, 0.6973) [4 per cell]
Li (0.1650, 0.0000, 0.1712) [4 per cell]
Li (0.2351, 0.0000, 0.6290) [4 per cell]
Fe (0.0000, 0.5000, 0.5000) [2 per cell]
Fe (0.0670, 0.5000, 0.9652) [4 per cell]
Fe (0.1360, 0.5000, 0.4286) [4 per cell]
Fe (0.1997, 0.5000, 0.8857) [4 per cell]
O (0.0000, 0.0000, 0.0000) [2 per cell]
O (0.0339, 0.5000, 0.7353) [4 per cell]
O (0.0643, 0.0000, 0.4662) [4 per cell]
O (0.0994, 0.5000, 0.1948) [4 per cell]
O (0.1326, 0.0000, 0.9340) [4 per cell]
O (0.1664, 0.5000, 0.6635) [4 per cell]
O (0.1926, 0.0000, 0.4018) [4 per cell]
O (0.2383, 0.5000, 0.1242) [4 per cell]

Results
* M_tot: 67.97 μB per cell
* energy above the lowest structure with this stoichiometry: 0.70 eV/f.u.
* energy: -5.949 eV per atom
* mass density: 4.210 g/cm³